Record 1
{
  "formula": "Sc2RePb",
  "functional": "PBE-GGA",
  "state": "optimized geometry",
  "ef_mev_per_atom": 677,
  "energy_ev_per_cell": -52.2,
  "cell": [[-3.059, 2.309, 2.087], [-0.120, -3.012, 3.156], [5.216, 4.363, 7.380]],
  "species": ["Re", "Re", "Pb", "Pb", "Sc", "Sc", "Sc", "Sc"],
  "frac_coords": [[0.500, 0.500, 0.000], [0.250, 0.750, 0.500], [0.750, 0.250, 0.500], [0.000, 0.000, 0.000], [0.147, 0.625, 0.250], [0.875, 0.853, 0.750], [0.603, 0.125, 0.250], [0.375, 0.397, 0.750]]
}



Record 2
{
  "formula": "ScRe2Pb",
  "functional": "PBE-GGA",
  "state": "optimized geometry",
  "ef_mev_per_atom": 501,
  "energy_ev_per_cell": -32.9,
  "cell": [[-3.440, -1.959, 1.113], [1.901, -1.429, 3.355], [-1.246, 3.415, 2.160]],
  "species": ["Sc", "Re", "Re", "Pb"],
  "frac_coords": [[0.500, 0.000, 0.500], [0.500, 0.500, 0.000], [0.000, 0.000, 0.000], [0.000, 0.500, 0.500]]
}



Record 3
{
  "formula": "ScRe2Pb",
  "functional": "PBE-GGA",
  "state": "optimized geometry",
  "ef_mev_per_atom": 452,
  "energy_ev_per_cell": -33.1,
  "cell": [[4.729, 0.000, 0.000], [0.000, 3.000, -0.013], [0.000, 0.320, 5.396]],
  "species": ["Pb", "Sc", "Re", "Re"],
  "frac_coords": [[0.500, 0.750, 0.750], [0.500, 0.250, 0.250], [0.000, 0.603, 0.460], [0.000, 0.897, 0.040]]
}



Record 4
{
  "formula": "ScRePb2",
  "functional": "PBE-GGA",
  "state": "optimized geometry",
  "e_above_lowest_polymorph_kj_per_mol_atoms": 6.57,
  "ef_mev_per_atom": 330,
  "energy_ev_per_cell": -24.9,
  "cell": [[3.114, 0.011, 0.000], [-1.001, 2.949, 0.000], [0.000, 0.000, 10.572]],
  "species": ["Pb", "Pb", "Sc", "Re"],
  "frac_coords": [[0.000, 0.000, 0.966], [0.500, 0.500, 0.305], [0.500, 0.500, 0.708], [0.000, 0.000, 0.521]]
}



- What is the formula in the fourth record?
  ScRePb2